First-principles (GGA-PBE) data for an optimized crystal structure of CoBiIrBr2, as listed in Alexandria.

Lattice parameters (Å, degrees): 5.076 5.383 5.076 90.00 90.00 90.00
Sites, in units of the cell vectors:
Co: 0.500 0.500 0.500
Br: 0.000 0.000 0.500
Br: 0.500 0.000 0.000
Ir: 0.000 0.000 0.000
Bi: 0.000 0.500 0.000

## Properties
formation energy from raw total energies: 0.975 eV per atom
magnetic moment: 2.6 Bohr magnetons per cell